(a)
Compound: PmNd4Er6
Source: Alexandria
Functional: PBE
Structure: optimized geometry

CIF file:
```
data_PmNd4Er6
_chemical_formula_sum 'Pm2 Nd8 Er12'
_space_group_name_H-M_alt 'I -4 2 m'
_space_group_IT_number 121
_space_group_name_Hall 'I -4 2'
_cell_length_a 6.673
_cell_length_b 6.673
_cell_length_c 16.939
_cell_angle_alpha 90.00
_cell_angle_beta 90.00
_cell_angle_gamma 90.00
loop_
_atom_site_label
_atom_site_type_symbol
_atom_site_fract_x
_atom_site_fract_y
_atom_site_fract_z
Pm1 Pm 0.000 0.000 0.000
Nd1 Nd 0.190 0.190 0.824
Er1 Er 0.000 0.500 0.000
Er2 Er 0.178 0.178 0.624
```

Results
The calculation puts the spin magnetization at 0.00 Bohr magnetons per cell. The mass density comes out at 7.60 g cm⁻³. The calculation puts the volume at 34.29 Å³/atom.

=====

(b)
Compound: PmNd4Er6
Source: Alexandria
Functional: PBE
Structure: optimized geometry

CIF file:
```
data_PmNd4Er6
_chemical_formula_sum 'Pm2 Nd8 Er12'
_space_group_name_H-M_alt 'I -4 2 m'
_space_group_IT_number 121
_space_group_name_Hall 'I -4 2'
_cell_length_a 7.772
_cell_length_b 7.772
_cell_length_c 12.945
_cell_angle_alpha 90.00
_cell_angle_beta 90.00
_cell_angle_gamma 90.00
loop_
_atom_site_label
_atom_site_type_symbol
_atom_site_fract_x
_atom_site_fract_y
_atom_site_fract_z
Pm1 Pm 0.000 0.000 0.000
Nd1 Nd 0.174 0.174 0.425
Er1 Er 0.000 0.500 0.000
Er2 Er 0.248 0.248 0.684
```

Results
The calculation puts the spin magnetization at 0.00 Bohr magnetons per cell. The mass density comes out at 7.33 g cm⁻³. The calculation puts the volume at 35.55 Å³/atom.

=====

Relative stability in meV/atom, measured from the most stable structure: (a) 0; (b) 153